VCoSi | GGA-PBEsol | optimized geometry

Computed properties:
DOS(E_F) (states/eV per atom): 0.438
DFT total energy (eV/atom): -8.3703
E_form (uncorrected) (eV/f.u.): -1.99
Symmetry: Pnma, No. 62
Spin magnetization (μB per cell): 0.000

Cell and atoms, written as POSCAR:
```
VCoSi
1.0
-1.8069 -0.9227 -2.8731
4.0681 -4.0761 -1.2494
-3.4381 -4.5412 3.6207
Si Co V
4 4 4
Direct
0.2500 0.2667 0.1239
0.7500 0.2333 0.6239
0.7500 0.7333 0.8761
0.2500 0.7667 0.3761
0.2500 0.1426 0.4393
0.7500 0.8574 0.5607
0.2500 0.6426 0.0607
0.7500 0.3574 0.9393
0.2500 0.0249 0.8215
0.7500 0.9751 0.1785
0.2500 0.5249 0.6785
0.7500 0.4751 0.3215
```